The following is a PBE+U calculation of an optimized crystal structure of NiSb3O, from Alexandria via LeMat-Bulk.

It has space group Pm-3m (No. 221), with a = 4.7036 Å, b = 4.7036 Å, c = 4.7036 Å, α = 90.00°, β = 90.00° and γ = 90.00°. The distinct sites, in fractional coordinates, are Ni at (0.0000, 0.0000, 0.0000), Sb at (0.0000, 0.5000, 0.5000) and O at (0.5000, 0.5000, 0.5000).

The value obtained for the uncorrected energy is -3.51 eV per atom. The calculation puts the density of states at the Fermi level at 3.478 states/eV/cell. Its theoretical density is 7.02 g cm⁻³.